1.
A relaxed Ac2Ga3Cu crystal, computed with PBE.

a = 4.3748 Å, b = 4.6056 Å, c = 7.6445 Å
α = 90.00°, β = 90.00°, γ = 90.00°
Closest atoms and distances in Å follow each position.
Fractional positions:
Ac  0.0000  0.0000  0.0000  8 Ga 3.40-3.45, 4 Cu 3.42
Ac  0.5000  0.0000  0.4996  10 Ga 3.41-3.48, 2 Cu 3.43
Ga  0.0000  0.5000  0.3268  2 Cu 2.50, 1 Ga 2.58
Ga  0.0000  0.5000  0.6638  3 Ga 2.57-2.58
Ga  0.5000  0.5000  0.8405  1 Cu 2.50, 2 Ga 2.57
Cu  0.5000  0.5000  0.1676  3 Ga 2.50

Output
- crystal system = orthorhombic
- E_tot (eV/cell) = -24.4
- E_form (eV per atom) = -0.51

2.
A relaxed AcGaCu crystal, computed with PBE.

a = 6.2582 Å, b = 6.2582 Å, c = 6.2582 Å
α = 139.23°, β = 103.19°, γ = 90.83°
Closest atoms and distances in Å follow each position.
Fractional positions:
Ac  0.2349  0.2349  0.0000  6 Cu 3.28-3.47, 6 Ga 3.35-3.43
Ac  0.7651  0.7651  0.0000  6 Cu 3.28-3.47, 6 Ga 3.35-3.43
Ga  0.3386  0.0000  0.3386  1 Ga 2.51, 2 Cu 2.55
Ga  0.6614  0.0000  0.6614  1 Ga 2.51, 2 Cu 2.55
Cu  0.1688  0.5000  0.6688  2 Ga 2.55, 1 Cu 2.63
Cu  0.8312  0.5000  0.3312  2 Ga 2.55, 1 Cu 2.63

Output
- crystal system = orthorhombic
- E_tot (eV/cell) = -24.8
- E_form (eV per atom) = -0.38

3.
A relaxed Ac3GaCu2 crystal, computed with PBE.

a = 3.8442 Å, b = 3.8442 Å, c = 11.5475 Å
α = 90.00°, β = 90.00°, γ = 90.00°
Closest atoms and distances in Å follow each position.
Fractional positions:
Ac  0.0000  0.0000  0.0000  8 Cu 3.30
Ac  0.0000  0.0000  0.3283  4 Cu 3.33, 4 Ga 3.36
Ac  0.0000  0.0000  0.6717  4 Cu 3.33, 4 Ga 3.36
Ga  0.5000  0.5000  0.5000  8 Ac 3.36
Cu  0.5000  0.5000  0.1616  8 Ac 3.30-3.33
Cu  0.5000  0.5000  0.8384  8 Ac 3.30-3.33

Output
- crystal system = tetragonal
- E_tot (eV/cell) = -24.8
- E_form (eV per atom) = -0.20